Below is crystalline SbTeC at its relaxed geometry, with properties calculated at the PBE level.

```
12
Lattice="6.505 0.000 0.000 0.000 4.151 0.000 -1.738 0.000 14.483" Properties=species:S:1:pos:R:3 pbc="T T T"
Te 3.717 0.000 13.912
Te 4.586 2.075 6.670
Te 0.548 2.075 3.070
Te -0.321 0.000 10.311
Sb 1.859 0.000 7.818
Sb 2.728 2.075 0.577
Sb -1.094 2.075 12.916
Sb -0.225 0.000 5.675
C 1.671 3.486 1.884
C 0.802 2.740 9.125
C 0.802 1.411 9.125
C 1.671 0.664 1.884
```

- formation energy (no corrections) (eV/atom) = 0.58
- SG = No. 8
- calculated density (Mg/m³) = 4.44
- volume (Å³/atom) = 32.587
- polymorph energy (0 for the lowest one) (eV/atom) = 0.026

Below is crystalline UPRuN at its relaxed geometry, with properties calculated at the PBE level.

```
8
Lattice="3.952 0.000 0.000 0.000 3.952 0.000 0.000 0.000 7.718" Properties=species:S:1:pos:R:3 pbc="T T T"
N 0.000 0.000 3.859
N 1.976 1.976 3.859
U 1.976 0.000 4.973
U 0.000 1.976 2.745
Ru 0.000 0.000 0.000
Ru 1.976 1.976 0.000
P 1.976 0.000 1.219
P 0.000 1.976 6.499
```

- formation energy (no corrections) (eV/atom) = -1.13
- SG = No. 129
- calculated density (Mg/m³) = 10.58
- volume (Å³/atom) = 15.068

Below is crystalline U2PaReC4 at its relaxed geometry, with properties calculated at the PBE level.

```
16
Lattice="-0.973 0.644 -3.140 -5.135 -1.672 3.034 -1.936 11.199 2.895" Properties=species:S:1:pos:R:3 pbc="T T T"
C -6.591 7.165 3.510
C -3.340 0.655 1.169
C 0.000 0.000 0.000
C -1.452 3.006 -0.721
C -3.824 3.456 1.893
C -0.968 5.599 1.447
C -4.219 6.714 0.896
C -4.704 9.515 1.621
U -2.075 0.505 -1.041
U -5.969 9.665 3.830
U -2.855 5.020 0.127
U -5.188 5.150 2.663
Pa -5.373 2.064 0.301
Pa -2.670 8.106 2.488
Re -2.199 2.388 1.170
Re -5.844 7.782 1.619
```

- SG = No. 63
- calculated density (Mg/m³) = 13.34
- volume (Å³/atom) = 14.642
- energy of formation from the pure elements (eV per atom) = -0.105

Below is crystalline SrU2AlO8 at its relaxed geometry, with properties calculated at the PBE level.

```
12
Lattice="4.922 0.149 -0.003 0.212 4.920 -0.005 0.004 0.007 6.987" Properties=species:S:1:pos:R:3 pbc="T T T"
O 3.999 1.094 5.585
O 3.561 3.516 -0.006
O 1.140 3.983 1.394
O 3.996 1.089 1.395
O 3.440 3.396 3.488
O 1.699 1.680 3.491
O 1.143 3.987 5.583
O 1.577 1.561 6.984
Sr 0.002 0.004 3.494
U 2.571 2.540 5.307
U 2.568 2.536 1.672
Al 0.000 0.000 0.000
```

- formation energy (no corrections) (eV/atom) = -3.04
- SG = No. 65
- calculated density (Mg/m³) = 7.06
- volume (Å³/atom) = 14.081

Below is crystalline Sc6BeSb2 at its relaxed geometry, with properties calculated at the PBE level.

```
9
Lattice="3.880 0.000 0.000 0.000 6.987 -3.217 0.000 -0.707 7.660" Properties=species:S:1:pos:R:3 pbc="T T T"
Sc 0.000 4.778 3.379
Sc 1.940 4.236 -1.951
Sc 1.940 6.558 1.426
Sc 0.000 -0.169 1.832
Sc 1.940 2.473 1.750
Sc 0.000 1.671 -0.769
Sb 0.000 1.858 4.034
Sb 0.000 4.422 0.408
Be 1.940 6.987 -3.217
```

- formation energy (no corrections) (eV/atom) = -0.51
- SG = No. 189
- calculated density (Mg/m³) = 4.36
- volume (Å³/atom) = 22.089

Below is crystalline ScCd2Hg at its relaxed geometry, with properties calculated at the PBE level.

```
4
Lattice="-1.443 0.955 -4.278 1.986 -2.193 -1.159 -3.322 -5.298 -0.062" Properties=species:S:1:pos:R:3 pbc="T T T"
Hg -1.157 -3.453 -0.381
Sc -1.715 -4.875 -2.999
Cd 0.035 -0.220 -0.061
Cd -0.610 -1.735 -2.671
```

- SG = No. 6
- calculated density (Mg/m³) = 8.81
- volume (Å³/atom) = 22.163
- energy of formation from the pure elements (eV per atom) = -0.182

Below is crystalline K2MoBr at its relaxed geometry, with properties calculated at the PBE level.

```
4
Lattice="2.160 3.319 4.620 -0.004 6.075 -0.355 -3.813 3.247 3.457" Properties=species:S:1:pos:R:3 pbc="T T T"
K -1.243 9.481 5.792
K -0.414 3.160 1.931
Br 0.000 0.000 0.000
Mo -0.829 6.320 3.861
```

- formation energy (no corrections) (eV/atom) = 0.53
- SG = No. 225
- calculated density (Mg/m³) = 2.65
- volume (Å³/atom) = 39.833
- polymorph energy (0 for the lowest one) (eV/atom) = 0.191

Below is crystalline Mn2TcHPd at its relaxed geometry, with properties calculated at the PBE level.

```
5
Lattice="-3.294 -1.674 0.734 -0.139 -1.279 -3.541 1.820 -3.118 1.055" Properties=species:S:1:pos:R:3 pbc="T T T"
Pd -0.807 -3.036 -0.876
Mn -0.069 -0.640 -1.771
Mn -1.647 -0.837 0.367
H 0.000 0.000 0.000
Tc 0.910 -1.559 0.527
```

- SG = No. 123
- calculated density (Mg/m³) = 9.81
- volume (Å³/atom) = 10.678
- DFT total energy (eV/atom) = -7.302

Below is crystalline LaSb2Mo at its relaxed geometry, with properties calculated at the PBE level.

```
4
Lattice="3.465 0.000 0.000 0.000 3.465 0.000 0.000 0.000 7.817" Properties=species:S:1:pos:R:3 pbc="T T T"
Sb 0.000 0.000 4.282
Sb 0.000 0.000 7.443
Mo 1.732 1.732 5.863
La 1.732 1.732 1.954
```

- formation energy (no corrections) (eV/atom) = -0.29
- SG = No. 123
- calculated density (Mg/m³) = 8.47
- volume (Å³/atom) = 23.456
- polymorph energy (0 for the lowest one) (eV/atom) = 0.000

Below is crystalline TmSi2NiPt2 at its relaxed geometry, with properties calculated at the PBE level.

```
6
Lattice="4.126 0.000 0.000 -2.063 3.573 0.000 0.000 0.000 6.575" Properties=species:S:1:pos:R:3 pbc="T T T"
Pt 2.063 1.191 1.908
Pt 0.000 2.382 4.667
Ni 0.000 0.000 3.288
Tm 0.000 0.000 0.000
Si 0.000 2.382 2.101
Si 2.063 1.191 4.474
```

- formation energy (no corrections) (eV/atom) = -0.93
- SG = No. 164
- calculated density (Mg/m³) = 11.54
- volume (Å³/atom) = 16.157

Below is crystalline LaTlPb2 at its relaxed geometry, with properties calculated at the PBE level.

```
4
Lattice="-3.847 2.845 -3.901 -5.229 -1.693 -2.811 -3.984 1.734 2.170" Properties=species:S:1:pos:R:3 pbc="T T T"
Tl -6.530 1.443 -2.272
Pb -3.279 0.720 -1.161
Pb -9.070 1.152 -6.703
La -9.784 2.166 -3.389
```

- SG = No. 44
- calculated density (Mg/m³) = 10.38
- volume (Å³/atom) = 30.302
- energy of formation from the pure elements (eV per atom) = -0.349

Below is crystalline LiNiPd4 at its relaxed geometry, with properties calculated at the PBE level.

```
6
Lattice="2.717 0.000 0.000 0.000 6.083 -0.013 0.000 -0.002 6.083" Properties=species:S:1:pos:R:3 pbc="T T T"
Pd 0.000 4.617 4.609
Pd 1.359 4.403 1.670
Pd 2.717 1.464 1.462
Pd 1.359 1.678 4.401
Li 0.000 3.041 3.035
Ni 1.359 0.000 0.000
```

- SG = No. 65
- calculated density (Mg/m³) = 8.11
- volume (Å³/atom) = 16.759
- energy of formation from the pure elements (eV per atom) = 0.474
- polymorph energy (0 for the lowest one) (eV/atom) = 0.524

Below is crystalline Pm2Y3TmSb6 at its relaxed geometry, with properties calculated at the PBE level.

```
12
Lattice="7.653 -0.002 0.000 -3.827 6.627 0.000 -1.277 -2.210 7.210" Properties=species:S:1:pos:R:3 pbc="T T T"
Pm 0.011 4.411 0.000
Pm 3.815 2.214 0.000
Y 1.275 2.207 3.605
Y -2.520 4.399 3.605
Y 5.070 0.015 3.605
Sb 3.805 2.246 5.392
Sb 2.506 -0.004 1.817
Sb 2.575 4.458 1.837
Sb -1.256 2.169 1.817
Sb -0.025 -0.044 5.373
Sb 0.044 4.418 5.392
Tm 0.000 0.000 0.000
```

- formation energy (no corrections) (eV/atom) = -1.15
- SG = No. 12
- calculated density (Mg/m³) = 6.61
- volume (Å³/atom) = 30.468

Below is crystalline LiNdTm at its relaxed geometry, with properties calculated at the PBE level.

```
6
Lattice="6.033 0.000 0.000 3.016 3.728 0.000 3.016 0.000 8.361" Properties=species:S:1:pos:R:3 pbc="T T T"
Li 6.033 1.202 0.000
Li 3.016 2.526 0.000
Nd 6.033 0.000 6.701
Nd 3.016 0.000 1.661
Tm 7.541 1.864 4.181
Tm 4.524 1.864 4.181
```

- SG = No. 69
- calculated density (Mg/m³) = 5.65
- volume (Å³/atom) = 31.339
- energy of formation from the pure elements (eV per atom) = 0.453
- polymorph energy (0 for the lowest one) (eV/atom) = 0.369

Below is crystalline AsOsRu at its relaxed geometry, with properties calculated at the PBE level.

```
3
Lattice="4.559 0.000 -0.003 1.876 4.155 0.003 -2.794 -2.734 2.346" Properties=species:S:1:pos:R:3 pbc="T T T"
Os 2.076 1.340 0.000
As 6.435 4.154 0.000
Ru 4.361 2.815 0.000
```

- SG = No. 44
- calculated density (Mg/m³) = 13.68
- volume (Å³/atom) = 14.823
- energy of formation from the pure elements (eV per atom) = 0.415
- polymorph energy (0 for the lowest one) (eV/atom) = 0.178

Below is crystalline CdAg2Bi at its relaxed geometry, with properties calculated at the PBE level.

```
4
Lattice="-0.528 -0.163 3.286 -2.960 -0.994 1.165 1.871 -9.367 1.526" Properties=species:S:1:pos:R:3 pbc="T T T"
Cd -2.324 -0.774 2.967
Ag 1.165 -7.277 1.516
Ag -0.456 -2.479 1.494
Bi -0.811 -5.255 2.989
```

- SG = No. 160
- calculated density (Mg/m³) = 9.78
- volume (Å³/atom) = 22.790
- energy of formation from the pure elements (eV per atom) = 0.111
- polymorph energy (0 for the lowest one) (eV/atom) = 0.076

Below is crystalline BaSrHf2 at its relaxed geometry, with properties calculated at the PBE level.

```
8
Lattice="-4.443 -2.718 7.595 6.888 -5.790 1.958 2.653 -1.996 6.420" Properties=species:S:1:pos:R:3 pbc="T T T"
Hf 2.870 -4.657 8.387
Hf 4.166 -8.972 13.184
Hf -1.276 -2.936 6.637
Hf 4.437 -4.443 3.737
Ba 0.000 0.000 0.000
Ba -0.283 -4.484 9.396
Sr 5.382 -6.020 6.577
Sr 1.223 -4.254 4.776
```

- SG = No. 122
- calculated density (Mg/m³) = 7.26
- volume (Å³/atom) = 33.259
- energy of formation from the pure elements (eV per atom) = 1.204
- polymorph energy (0 for the lowest one) (eV/atom) = 0.156

Below is crystalline NaBPd2Pt at its relaxed geometry, with properties calculated at the PBE level.

```
5
Lattice="4.262 0.000 0.000 0.000 4.262 0.000 0.000 0.000 4.164" Properties=species:S:1:pos:R:3 pbc="T T T"
Na 2.131 2.131 2.082
B 0.000 0.000 0.000
Pt 0.000 0.000 2.082
Pd 2.131 0.000 0.000
Pd 0.000 2.131 0.000
```

- SG = No. 123
- calculated density (Mg/m³) = 9.70
- volume (Å³/atom) = 15.131
- energy of formation from the pure elements (eV per atom) = -0.310

Below is crystalline LaCo2Hg at its relaxed geometry, with properties calculated at the PBE level.

```
4
Lattice="-0.482 -3.646 1.413 0.650 -1.566 -3.820 5.016 -1.050 -0.999" Properties=species:S:1:pos:R:3 pbc="T T T"
Hg 2.438 -1.190 -2.239
Co 0.199 -0.299 -0.703
Co 0.987 -2.179 0.206
La 4.393 -3.903 -3.079
```

- SG = No. 38
- calculated density (Mg/m³) = 9.64
- volume (Å³/atom) = 19.702
- energy of formation from the pure elements (eV per atom) = 0.013

Below is crystalline YBe2In at its relaxed geometry, with properties calculated at the PBE level.

```
4
Lattice="0.277 -6.160 -0.379 5.973 -1.492 0.502 -3.903 4.416 1.844" Properties=species:S:1:pos:R:3 pbc="T T T"
Be 1.251 -5.936 -0.047
Be 2.212 -1.484 1.363
In -1.310 0.799 1.623
Y -0.306 -2.186 0.554
```

- SG = No. 5
- calculated density (Mg/m³) = 5.20
- volume (Å³/atom) = 17.687
- energy of formation from the pure elements (eV per atom) = -0.059

Below is crystalline Ba2Tl3Pd4Au at its relaxed geometry, with properties calculated at the PBE level.

```
10
Lattice="4.902 0.000 0.000 0.000 4.902 0.000 0.000 0.000 10.740" Properties=species:S:1:pos:R:3 pbc="T T T"
Pd 2.451 0.000 6.725
Pd 0.000 0.000 0.000
Pd 0.000 2.451 4.015
Pd 2.451 2.451 0.000
Ba 2.451 0.000 2.683
Ba 0.000 2.451 8.057
Tl 0.000 2.451 1.292
Tl 0.000 0.000 5.370
Tl 2.451 0.000 9.447
Au 2.451 2.451 5.370
```

- SG = No. 115
- calculated density (Mg/m³) = 9.72
- volume (Å³/atom) = 25.812
- energy of formation from the pure elements (eV per atom) = -0.420

Below is crystalline AcTbTh at its relaxed geometry, with properties calculated at the PBE level.

```
3
Lattice="-2.098 -2.235 2.075 1.406 -1.224 -3.199 7.409 -2.901 4.366" Properties=species:S:1:pos:R:3 pbc="T T T"
Ac 7.359 -2.881 4.336
Th 5.114 -3.470 1.433
Tb 1.653 -2.909 1.839
```

- SG = No. 156
- calculated density (Mg/m³) = 9.53
- volume (Å³/atom) = 35.902
- energy of formation from the pure elements (eV per atom) = 0.093
- polymorph energy (0 for the lowest one) (eV/atom) = 0.025

Below is crystalline Sc3Hg2Pb at its relaxed geometry, with properties calculated at the PBE level.

```
6
Lattice="-2.296 0.382 -2.650 -2.649 -0.831 2.175 -1.209 10.593 2.573" Properties=species:S:1:pos:R:3 pbc="T T T"
Hg -3.496 8.738 1.939
Hg -2.659 1.406 0.159
Sc -0.387 3.387 0.823
Sc 0.000 0.000 0.000
Sc -0.823 7.206 1.750
Pb -3.077 5.072 1.049
```

- SG = No. 123
- calculated density (Mg/m³) = 9.05
- volume (Å³/atom) = 22.740
- energy of formation from the pure elements (eV per atom) = -0.383
- polymorph energy (0 for the lowest one) (eV/atom) = 0.005

Below is crystalline LaNi2Hg at its relaxed geometry, with properties calculated at the PBE level.

```
4
Lattice="4.620 -0.010 -0.314 -0.014 4.620 -0.314 0.056 0.056 3.547" Properties=species:S:1:pos:R:3 pbc="T T T"
La 0.021 2.338 1.616
Ni 0.000 0.000 0.000
Ni 2.303 2.305 -0.314
Hg 2.338 0.023 1.616
```

- SG = No. 12
- calculated density (Mg/m³) = 10.00
- volume (Å³/atom) = 18.963
- energy of formation from the pure elements (eV per atom) = -0.035